A plane-wave DFT calculation with GGA-PBE was carried out for Pr12Nd6Er after structural relaxation.

The structure in POSCAR format:
```
Pr12Nd6Er
1.0
8.758 0.688 0.825
-0.647 8.761 0.825
-0.647 -0.754 8.768
Pr Nd Er
12 6 1
Direct
0.565 0.219 0.465
0.018 0.191 0.361
0.435 0.781 0.535
0.809 0.639 0.982
0.781 0.535 0.435
0.639 0.982 0.809
0.361 0.018 0.191
0.191 0.361 0.018
0.535 0.435 0.781
0.219 0.465 0.565
0.465 0.565 0.219
0.982 0.809 0.639
0.096 0.701 0.262
0.262 0.096 0.701
0.299 0.738 0.904
0.701 0.262 0.096
0.904 0.299 0.738
0.738 0.904 0.299
0.000 0.000 0.000
```

E_form   0.1209 eV per atom
Excess energy over the best structure of this formula in the dataset   0 meV per atom
DOS at the Fermi energy   1.5873 states/eV/atom